{
  "formula": "Ca2YTe",
  "functional": "PBE",
  "state": "relaxed",
  "e_form_raw_ev_per_atom": -0.2150,
  "magnetic_moment_mub_per_cell": 0.00,
  "sg": "F-43m",
  "lattice": [[5.642, 0.000, 0.000], [2.821, 4.886, 0.000], [2.821, 1.629, 4.607]],
  "species": ["Ca", "Ca", "Te", "Y"],
  "fractional_positions": [[0.000, 0.000, 0.000], [0.250, 0.250, 0.250], [0.500, 0.500, 0.500], [0.750, 0.750, 0.750]]
}